(P)
Compound: KCrIr
Source: Alexandria via LeMat-Bulk
Functional: meta-GGA SCAN
Structure: single point on PBEsol structure

Results
Total magnetic moment in Bohr magnetons per cell: 3.97
Density of states at the Fermi level in states/eV/cell: 4.192
Volume in A^3/atom: 21.945

a b c (Å): 4.532 4.532 4.532
angles (deg): 60.00 60.00 60.00
Positions (direct):
K1 0.000 0.000 0.000
Cr1 0.500 0.500 0.500
Ir1 0.750 0.750 0.750

***

(Q)
Compound: KCrIr
Source: Alexandria via LeMat-Bulk
Functional: meta-GGA SCAN
Structure: single point on PBEsol structure

Results
Total magnetic moment in Bohr magnetons per cell: 3.25
Density of states at the Fermi level in states/eV/cell: 2.106
Volume in A^3/atom: 21.252

a b c (Å): 6.509 6.509 6.509
angles (deg): 155.23 146.42 42.17
Positions (direct):
K1 0.000 0.000 0.000
Cr1 0.726 0.726 0.000
Ir1 0.288 0.288 0.000

***

Which structure is the least stable? The one labeled (P).